{"formula": "MoHSe2", "functional": "PBE", "state": "relaxed", "cell": [[2.0043, 0.0000, 6.7867], [-1.0021, 1.7358, 6.7867], [-1.0021, -1.7358, 6.7867]], "species": ["Mo", "Se", "Se", "H"], "fractional_positions": [[0.5000, 0.5000, 0.5000], [0.9126, 0.9126, 0.9126], [0.0874, 0.0874, 0.0874], [0.0000, 0.0000, 0.0000]], "sg": "No. 166", "mass_density_g_cm3": 5.975, "relative_energy_ev_per_atom": 0.190, "dos_at_fermi_per_ev_cell": 4.4}